Record 1
A plane-wave DFT calculation with PBE-GGA was carried out for crystalline CaTaHgBi2 at its relaxed geometry.

Values from the calculation:
space-group type = P4/mmm (123)
E_tot = -3.0626 eV/atom

Cell lengths 5.7383, 5.4144, 5.7383 Å; angles 90.00, 90.00, 90.00 degrees
Last column: nearest neighbours and their distance in Å.
Element x y z (fractional)
Bi 0.0000 0.0000 0.5000  2 Ca 2.87
Bi 0.5000 0.0000 0.0000  2 Ca 2.87
Ca 0.0000 0.0000 0.0000  2 Hg 2.71, 4 Bi 2.87
Hg 0.0000 0.5000 0.0000  2 Ca 2.71
Ta 0.5000 0.5000 0.5000  8 Bi 3.94, 4 Hg 4.06


Record 2
A plane-wave DFT calculation with PBE-GGA was carried out for crystalline CaThHgBi at its relaxed geometry.

Values from the calculation:
space-group type = F-43m (216)
E_tot = -3.7844 eV/atom

Cell lengths 5.5046, 5.5046, 5.5046 Å; angles 60.00, 60.00, 60.00 degrees
Last column: nearest neighbours and their distance in Å.
Element x y z (fractional)
Bi 0.5000 0.5000 0.5000  4 Ca 3.37, 4 Th 3.37
Ca 0.2500 0.2500 0.2500  4 Hg 3.37, 4 Bi 3.37
Hg 0.0000 0.0000 0.0000  4 Th 3.37, 4 Ca 3.37
Th 0.7500 0.7500 0.7500  4 Hg 3.37, 4 Bi 3.37


Record 3
A plane-wave DFT calculation with PBE-GGA was carried out for crystalline CaTlHg2Bi at its relaxed geometry.

Values from the calculation:
space-group type = Cmcm (63)
E_tot = -1.9714 eV/atom

Cell lengths 5.9056, 5.9134, 9.4712 Å; angles 108.19, 90.00, 90.00 degrees
Last column: nearest neighbours and their distance in Å.
Element x y z (fractional)
Ca 0.7500 0.3479 0.6959  4 Bi 3.43-3.46, 4 Hg 3.44, 1 Tl 3.55
Ca 0.2500 0.6521 0.3041  4 Bi 3.43-3.46, 4 Hg 3.44, 1 Tl 3.55
Bi 0.2500 0.2515 0.5029  4 Ca 3.43-3.46, 4 Tl 3.44-3.47
Bi 0.7500 0.7485 0.4971  4 Ca 3.43-3.46, 4 Tl 3.44-3.47
Hg 0.0000 0.2492 0.0000  4 Hg 2.95-2.97
Hg 0.5000 0.2492 0.0000  4 Hg 2.95-2.97
Hg 0.5000 0.7508 0.0000  4 Hg 2.95-2.97
Hg 0.0000 0.7508 0.0000  4 Hg 2.95-2.97
Tl 0.7500 0.1505 0.3010  4 Hg 3.42, 4 Bi 3.44-3.47, 1 Ca 3.55
Tl 0.2500 0.8495 0.6990  4 Hg 3.42, 4 Bi 3.44-3.47, 1 Ca 3.55